Computed, not measured: an optimized crystal structure of Na3PtN at the GGA-PBEsol level of DFT.

Results
Its space group is No. 221. The final energy comes out at -0.24360 Ry/atom. The total magnetic moment comes out at 2.003 μB/cell.

extended XYZ file:
```
5
Lattice="-0.154 4.289 -1.637 -4.587 -0.075 0.236 0.193 1.643 4.286" Properties=species:S:1:pos:R:3 pbc="T T T"
Pt -2.274 2.929 1.442
N 0.000 0.000 0.000
Na -2.294 -0.037 0.118
Na -0.077 2.145 -0.819
Na 0.097 0.821 2.143
```